VASP calculation (PBE-GGA) on an optimized crystal structure of TaCdSe2.

```
TaCdSe2
1.0
1.863 1.076 8.365
-1.863 1.076 8.365
0.000 -2.152 8.365
Ta Cd Se
1 1 2
Direct
0.000 0.000 0.000
0.500 0.500 0.500
0.097 0.097 0.097
0.903 0.903 0.903
```

Properties
As for the density: 7.45 g cm⁻³. For the total moment, the calculation gives 0.8 μB per cell. The calculation puts the raw formation energy at 28.99 kJ per mole of atoms. The raw total energy is -4.63 eV/atom.

VASP calculation (PBE-GGA) on an optimized crystal structure of Pr3GeSe6.

```
Pr3GeSe6
1.0
5.781 -7.198 0.000
5.781 7.198 0.000
0.000 0.000 7.105
Pr Ge Se
6 2 12
Direct
0.099 0.901 0.500
0.218 0.414 0.409
0.414 0.218 0.909
0.586 0.782 0.409
0.782 0.586 0.909
0.901 0.099 0.000
0.302 0.698 0.866
0.698 0.302 0.366
0.067 0.596 0.690
0.132 0.191 0.704
0.191 0.132 0.204
0.281 0.719 0.233
0.404 0.933 0.690
0.465 0.535 0.717
0.535 0.465 0.217
0.596 0.067 0.190
0.719 0.281 0.733
0.809 0.868 0.704
0.868 0.809 0.204
0.933 0.404 0.190
```

Properties
As for the density: 5.44 g cm⁻³. For the total moment, the calculation gives 0.0 μB per cell. The calculation puts the raw formation energy at -139.46 kJ per mole of atoms. The raw total energy is -5.43 eV/atom.

VASP calculation (PBE-GGA) on an optimized crystal structure of Pu3Tc2Ru.

```
Pu3Tc2Ru
1.0
2.393 -7.135 0.000
2.393 7.135 0.000
0.000 0.000 3.391
Pu Tc Ru
3 2 1
Direct
0.000 0.000 0.000
0.334 0.666 0.000
0.666 0.334 0.000
0.168 0.832 0.500
0.832 0.168 0.500
0.500 0.500 0.500
```

Properties
As for the density: 14.75 g cm⁻³. The value obtained for the relative energy among the computed polymorphs is 0 meV per atom. For the total moment, the calculation gives 12.1 μB per cell. The raw total energy is -12.16 eV/atom.